Entry 1:
ScPS2N: optimized geometry, PBE.

Computed properties:
Total magnetic moment, μB per atom: 0.255
Total energy, eV/atom: -4.640
ΔE to the lowest computed polymorph, kcal/mol of atoms: 28.21
DOS at the Fermi energy, states/eV/f.u.: 4.9

Cell lengths 4.886, 4.886, 5.231 Å; angles 90.00, 90.00, 90.00 degrees
Space group P4/mmm (No. 123)
Symmetry-distinct sites (fractional):
Sc  0.000  0.000  0.000
P  0.000  0.000  0.500
S  0.000  0.500  0.000
N  0.500  0.500  0.500



Entry 2:
ScPS2N: optimized geometry, PBE.

Computed properties:
Total magnetic moment, μB per atom: 0.000
Total energy, eV/atom: -5.863
ΔE to the lowest computed polymorph, kcal/mol of atoms: 0.00
DOS at the Fermi energy, states/eV/f.u.: 2.4

Cell lengths 4.661, 4.661, 3.381 Å; angles 90.00, 90.00, 90.00 degrees
Space group P4/mmm (No. 123)
Symmetry-distinct sites (fractional):
Sc  0.000  0.000  0.000
P  0.500  0.500  0.500
S  0.000  0.500  0.500
N  0.500  0.500  0.000



Entry 3:
ScPS2N: optimized geometry, PBE.

Computed properties:
Total magnetic moment, μB per atom: 0.000
Total energy, eV/atom: -5.467
ΔE to the lowest computed polymorph, kcal/mol of atoms: 9.12
DOS at the Fermi energy, states/eV/f.u.: 2.2

Cell lengths 4.302, 4.302, 3.898 Å; angles 90.00, 90.00, 90.00 degrees
Space group P4/mmm (No. 123)
Symmetry-distinct sites (fractional):
Sc  0.000  0.000  0.000
P  0.500  0.500  0.000
S  0.000  0.500  0.500
N  0.500  0.500  0.500



Entry 4:
Sc8P3S3N: optimized geometry, PBE.

Computed properties:
Total magnetic moment, μB per atom: 0.000
Total energy, eV/atom: -7.432
DOS at the Fermi energy, states/eV/f.u.: 8.9

Cell lengths 7.3232, 7.3232, 17.9944 Å; angles 90.00, 90.00, 120.00 degrees
Space group R-3m (No. 166, hexagonal axes)
Symmetry-distinct sites (fractional):
Sc  0.0000  0.0000  0.2468
Sc  0.0339  0.5170  0.2400
P  0.0000  0.5000  0.5000
S  0.0000  0.5000  0.0000
N  0.0000  0.0000  0.5000



Entry 5:
ScPS2N: optimized geometry, PBE.

Computed properties:
Total magnetic moment, μB per atom: 0.380
Total energy, eV/atom: -5.117
ΔE to the lowest computed polymorph, kcal/mol of atoms: 17.20
DOS at the Fermi energy, states/eV/f.u.: 3.1

Cell lengths 4.970, 4.970, 4.058 Å; angles 90.00, 90.00, 90.00 degrees
Space group P4/mmm (No. 123)
Symmetry-distinct sites (fractional):
Sc  0.000  0.000  0.000
P  0.500  0.500  0.500
S  0.000  0.500  0.000
N  0.000  0.000  0.500



Entry 6:
Sc6PS3N2: optimized geometry, PBE.

Computed properties:
Total magnetic moment, μB per atom: 0.000
Total energy, eV/atom: -7.818
DOS at the Fermi energy, states/eV/f.u.: 4.0

Cell lengths 15.597, 3.499, 7.199 Å; angles 90.00, 104.75, 90.00 degrees
Space group C2/m (No. 12)
Symmetry-distinct sites (fractional):
Sc  0.020  0.000  0.260
Sc  0.171  0.500  0.125
Sc  0.180  0.500  0.562
P  0.000  0.500  0.000
S  0.000  0.500  0.500
S  0.163  0.000  0.831
N  0.171  0.000  0.339



Entry 7:
PSeS2N: optimized geometry, PBE.

Computed properties:
Total magnetic moment, μB per atom: 0.000
Total energy, eV/atom: -3.691
ΔE to the lowest computed polymorph, kcal/mol of atoms: 15.51
DOS at the Fermi energy, states/eV/f.u.: 5.0

Cell lengths 4.871, 4.871, 3.624 Å; angles 90.00, 90.00, 90.00 degrees
Space group P4/mmm (No. 123)
Symmetry-distinct sites (fractional):
P  0.000  0.000  0.000
Se  0.500  0.500  0.500
S  0.000  0.500  0.500
N  0.500  0.500  0.000



Entry 8:
P2SeSN: optimized geometry, PBE.

Computed properties:
Total magnetic moment, μB per atom: 0.000
Total energy, eV/atom: -4.200
ΔE to the lowest computed polymorph, kcal/mol of atoms: 0.00
DOS at the Fermi energy, states/eV/f.u.: 2.2

Cell lengths 4.269, 4.269, 4.008 Å; angles 90.00, 90.00, 90.00 degrees
Space group P4/mmm (No. 123)
Symmetry-distinct sites (fractional):
P  0.000  0.500  0.000
Se  0.000  0.000  0.500
S  0.500  0.500  0.500
N  0.500  0.500  0.000



Entry 9:
P2SeSN: optimized geometry, PBE.

Computed properties:
Total magnetic moment, μB per atom: 0.291
Total energy, eV/atom: -3.413
ΔE to the lowest computed polymorph, kcal/mol of atoms: 18.14
DOS at the Fermi energy, states/eV/f.u.: 3.3

Cell lengths 4.606, 4.606, 4.803 Å; angles 90.00, 90.00, 90.00 degrees
Space group P4/mmm (No. 123)
Symmetry-distinct sites (fractional):
P  0.000  0.500  0.000
Se  0.000  0.000  0.500
S  0.000  0.000  0.000
N  0.500  0.500  0.500



Entry 10:
PSeS2N: optimized geometry, PBE.

Computed properties:
Total magnetic moment, μB per atom: 0.280
Total energy, eV/atom: -3.167
ΔE to the lowest computed polymorph, kcal/mol of atoms: 27.61
DOS at the Fermi energy, states/eV/f.u.: 4.4

Cell lengths 4.817, 4.817, 5.022 Å; angles 90.00, 90.00, 90.00 degrees
Space group P4/mmm (No. 123)
Symmetry-distinct sites (fractional):
P  0.000  0.000  0.000
Se  0.000  0.000  0.500
S  0.000  0.500  0.500
N  0.500  0.500  0.000



Entry 11:
PSeSN2: optimized geometry, PBE.

Computed properties:
Total magnetic moment, μB per atom: 0.128
Total energy, eV/atom: -4.483
ΔE to the lowest computed polymorph, kcal/mol of atoms: 13.93
DOS at the Fermi energy, states/eV/f.u.: 1.4

Cell lengths 3.442, 3.442, 6.231 Å; angles 90.00, 90.00, 90.00 degrees
Space group P4/mmm (No. 123)
Symmetry-distinct sites (fractional):
P  0.000  0.000  0.000
Se  0.500  0.500  0.000
S  0.000  0.000  0.500
N  0.000  0.500  0.500



Entry 12:
PSeS2N: optimized geometry, PBE.

Computed properties:
Total magnetic moment, μB per atom: 0.000
Total energy, eV/atom: -4.364
ΔE to the lowest computed polymorph, kcal/mol of atoms: 0.00
DOS at the Fermi energy, states/eV/f.u.: 2.8

Cell lengths 4.738, 4.738, 3.285 Å; angles 90.00, 90.00, 90.00 degrees
Space group P4/mmm (No. 123)
Symmetry-distinct sites (fractional):
P  0.000  0.000  0.000
Se  0.500  0.500  0.500
S  0.000  0.500  0.000
N  0.000  0.000  0.500